A plane-wave DFT calculation with GGA-PBE was carried out for a geometry-optimized Hf4Al2P structure.

a = 4.6505 Å, b = 4.6505 Å, c = 14.6332 Å
α = 90.00°, β = 90.00°, γ = 90.00°
Space group I4/mmm (No. 139)
Unique sites:
1 Hf 0.0000 0.0000 0.1693 (multiplicity 4)
2 Hf 0.0000 0.5000 0.0000 (multiplicity 4)
3 Al 0.0000 0.0000 0.3653 (multiplicity 4)
4 P 0.0000 0.0000 0.0000 (multiplicity 2)

Values from the calculation:
Its total magnetization is 0.000 μB per atom. The calculation puts the formation energy at -51.4 meV per atom. For the density of states at the Fermi level, the calculation gives 0.9266 states/eV per atom.